1.
Na3NdY2O6: relaxed, GGA-PBE.

a b c (Å): 6.042 6.042 5.956
angles (deg): 99.70 99.70 120.03
Positions (direct):
Na: 0.171 0.829 0.500
Na: 0.829 0.171 0.500
Na: 0.500 0.500 0.500
Nd: 0.000 0.000 0.000
Y: 0.333 0.667 0.000
Y: 0.667 0.333 0.000
O: 0.929 0.586 0.787
O: 0.728 0.728 0.214
O: 0.071 0.414 0.213
O: 0.586 0.929 0.787
O: 0.272 0.272 0.786
O: 0.414 0.071 0.213

DOS(E_F) = 0.00 states/eV/f.u.
Formation energy without anion corrections = -2.7166 eV/atom
Uncorrected energy = -7.000 eV per atom



2.
Tb3Tm12Zr: relaxed, GGA-PBE.

a b c (Å): 4.922 4.922 19.665
angles (deg): 90.00 90.00 90.00
Positions (direct):
Tb: 0.000 0.000 0.248
Tb: 0.000 0.000 0.500
Tb: 0.000 0.000 0.752
Tm: 0.500 0.500 0.000
Tm: 0.500 0.500 0.247
Tm: 0.500 0.500 0.500
Tm: 0.500 0.500 0.753
Tm: 0.500 0.000 0.117
Tm: 0.500 0.000 0.373
Tm: 0.500 0.000 0.627
Tm: 0.500 0.000 0.883
Tm: 0.000 0.500 0.117
Tm: 0.000 0.500 0.373
Tm: 0.000 0.500 0.627
Tm: 0.000 0.500 0.883
Zr: 0.000 0.000 0.000

DOS(E_F) = 21.20 states/eV/f.u.
Uncorrected energy = -4.721 eV per atom
Formation energy from the elements = 36 meV per atom



3.
Ca2PmAs3Rh4: relaxed, GGA-PBE.

a b c (Å): 4.173 4.173 11.316
angles (deg): 90.00 90.00 90.00
Positions (direct):
Ca: 0.500 0.000 0.226
Ca: 0.000 0.500 0.774
Pm: 0.500 0.500 0.500
As: 0.000 0.000 0.500
As: 0.500 0.000 0.875
As: 0.000 0.500 0.125
Rh: 0.500 0.500 0.000
Rh: 0.000 0.000 0.000
Rh: 0.500 0.000 0.663
Rh: 0.000 0.500 0.337

DOS(E_F) = 3.86 states/eV/f.u.
Uncorrected energy = -6.031 eV per atom
Formation energy from the elements = -820 meV per atom



4.
Pr2NiC4: relaxed, GGA-PBE.

a b c (Å): 5.309 6.940 6.940
angles (deg): 65.55 67.51 67.51
Positions (direct):
Pr: 0.357 0.815 0.471
Pr: 0.643 0.185 0.529
Pr: 0.857 0.471 0.815
Pr: 0.143 0.529 0.185
Ni: 0.250 0.000 0.000
Ni: 0.750 0.000 0.000
C: 0.122 0.214 0.541
C: 0.878 0.786 0.459
C: 0.622 0.541 0.214
C: 0.378 0.459 0.786
C: 0.082 0.085 0.751
C: 0.918 0.915 0.249
C: 0.582 0.751 0.085
C: 0.418 0.249 0.915

DOS(E_F) = 1.35 states/eV/f.u.
Uncorrected energy = -7.594 eV per atom
Formation energy from the elements = -132 meV per atom



Number 1: total magnetization 0.00 μB/atom. Number 2: total magnetization 0.00 μB/atom. Number 3: total magnetization 0.00 μB/atom. Number 4: total magnetization 0.00 μB/atom.